! meta-GGA SCAN CaInCu4, single point on PBEsol structure; values from VASP
&SYSTEM
  ibrav = 0, nat = 6, ntyp = 3
/
ATOMIC_SPECIES
Ca 40.08 Ca.upf
In 114.82 In.upf
Cu 63.55 Cu.upf
CELL_PARAMETERS angstrom
0.000 3.565 3.565
3.565 0.000 3.565
3.565 3.565 0.000
ATOMIC_POSITIONS crystal
Ca 0.000 0.000 0.000
In 0.750 0.750 0.750
Cu 0.376 0.376 0.376
Cu 0.376 0.376 0.873
Cu 0.376 0.873 0.376
Cu 0.873 0.376 0.376
! Density of states at the Fermi level (states/eV/cell): 2.39
! Crystal system: cubic
! Uncorrected energy (eV/atom): -17.4952